[1]
{
  "formula": "Ce2HfPa",
  "functional": "PBE",
  "state": "relaxed",
  "lattice": [[4.6382, 0.0000, 0.0000], [0.0000, 4.6382, 0.0000], [0.0000, 0.0000, 4.7124]],
  "species": ["Ce", "Ce", "Hf", "Pa"],
  "frac_coords": [[0.0000, 0.5000, 0.0000], [0.5000, 0.0000, 0.0000], [0.0000, 0.0000, 0.5000], [0.5000, 0.5000, 0.5000]],
  "vol_a3_per_atom": 25.3,
  "m_tot_mub_per_cell": 0.000,
  "polymorph_energy_mev_per_atom": 61,
  "delta_e_f_kj_per_mol_atoms": 15,
  "dos_ef_per_ev_cell": 9.26,
  "e_tot_ry_per_atom": -0.56374
}

=====

[2]
{
  "formula": "SrLu2S4",
  "functional": "PBE",
  "state": "relaxed",
  "lattice": [[11.9543, 0.0000, 0.0000], [0.0000, 3.9226, 0.0000], [0.0000, 0.0000, 14.1428]],
  "species": ["Sr", "Sr", "Sr", "Sr", "Lu", "Lu", "Lu", "Lu", "Lu", "Lu", "Lu", "Lu", "S", "S", "S", "S", "S", "S", "S", "S", "S", "S", "S", "S", "S", "S", "S", "S"],
  "frac_coords": [[0.2402, 0.2500, 0.1637], [0.2598, 0.7500, 0.6637], [0.7402, 0.2500, 0.3363], [0.7598, 0.7500, 0.8363], [0.0624, 0.2500, 0.3893], [0.0824, 0.2500, 0.9005], [0.4176, 0.7500, 0.4005], [0.4376, 0.7500, 0.8893], [0.5624, 0.2500, 0.1107], [0.5824, 0.2500, 0.5995], [0.9176, 0.7500, 0.0995], [0.9376, 0.7500, 0.6107], [0.0270, 0.7500, 0.7842], [0.0874, 0.2500, 0.5762], [0.1259, 0.7500, 0.0279], [0.2047, 0.7500, 0.3319], [0.2953, 0.2500, 0.8319], [0.3741, 0.2500, 0.5279], [0.4126, 0.7500, 0.0762], [0.4730, 0.2500, 0.2842], [0.5270, 0.7500, 0.7158], [0.5874, 0.2500, 0.9238], [0.6259, 0.7500, 0.4721], [0.7047, 0.7500, 0.1681], [0.7953, 0.2500, 0.6681], [0.8741, 0.2500, 0.9721], [0.9126, 0.7500, 0.4238], [0.9730, 0.2500, 0.2158]],
  "vol_a3_per_atom": 23.7,
  "m_tot_mub_per_cell": 0.000,
  "dos_ef_per_ev_cell": 0.00,
  "e_tot_ry_per_atom": -0.44270
}

=====

[3]
{
  "formula": "Sm4HgPt",
  "functional": "PBE",
  "state": "relaxed",
  "lattice": [[7.3614, 0.0000, 0.0000], [0.0000, 7.2815, 0.0000], [-0.4122, 0.0000, 7.1713]],
  "species": ["Sm", "Sm", "Sm", "Sm", "Sm", "Sm", "Sm", "Sm", "Hg", "Hg", "Pt", "Pt"],
  "frac_coords": [[0.1471, 0.1595, 0.1753], [0.1471, 0.3405, 0.6753], [0.3304, 0.6472, 0.1276], [0.3304, 0.8528, 0.6276], [0.6696, 0.1472, 0.3724], [0.6696, 0.3528, 0.8724], [0.8529, 0.6595, 0.3247], [0.8529, 0.8405, 0.8247], [0.5000, 0.0000, 0.0000], [0.5000, 0.5000, 0.5000], [0.0000, 0.0000, 0.5000], [0.0000, 0.5000, 0.0000]],
  "vol_a3_per_atom": 32.0,
  "m_tot_mub_per_cell": 0.000,
  "polymorph_energy_mev_per_atom": 187,
  "delta_e_f_kj_per_mol_atoms": -41,
  "dos_ef_per_ev_cell": 16.89,
  "e_tot_ry_per_atom": -0.34039
}

=====

[4]
{
  "formula": "DyHo4Hg7",
  "functional": "PBE",
  "state": "relaxed",
  "lattice": [[6.3364, -2.7493, 0.0000], [6.3364, 2.7493, 0.0000], [-5.8481, 0.0000, 9.2489]],
  "species": ["Dy", "Ho", "Ho", "Ho", "Ho", "Hg", "Hg", "Hg", "Hg", "Hg", "Hg", "Hg"],
  "frac_coords": [[0.0000, 0.0000, 0.0000], [0.2652, 0.2652, 0.6774], [0.4185, 0.4185, 0.2234], [0.5815, 0.5815, 0.7766], [0.7348, 0.7348, 0.3226], [0.0723, 0.0723, 0.3375], [0.2054, 0.2054, 0.9143], [0.3596, 0.3596, 0.4608], [0.5000, 0.5000, 0.0000], [0.6404, 0.6404, 0.5392], [0.7946, 0.7946, 0.0857], [0.9277, 0.9277, 0.6625]],
  "vol_a3_per_atom": 26.9,
  "m_tot_mub_per_cell": 0.000,
  "delta_e_f_kj_per_mol_atoms": -29,
  "dos_ef_per_ev_cell": 6.19,
  "e_tot_ry_per_atom": -0.17570
}

=====

[5]
{
  "formula": "Ac6GePb3Se2",
  "functional": "PBE",
  "state": "relaxed",
  "lattice": [[10.4416, -2.3249, 0.0000], [10.4416, 2.3249, 0.0000], [-2.9180, 0.0000, 9.0834]],
  "species": ["Ac", "Ac", "Ac", "Ac", "Ac", "Ac", "Ge", "Pb", "Pb", "Pb", "Se", "Se"],
  "frac_coords": [[0.0048, 0.0048, 0.2348], [0.3293, 0.3293, 0.4273], [0.3400, 0.3400, 0.9141], [0.6600, 0.6600, 0.0859], [0.6707, 0.6707, 0.5727], [0.9952, 0.9952, 0.7652], [0.5000, 0.5000, 0.0000], [0.1679, 0.1679, 0.8278], [0.5000, 0.5000, 0.5000], [0.8321, 0.8321, 0.1722], [0.1680, 0.1680, 0.3335], [0.8320, 0.8320, 0.6665]],
  "vol_a3_per_atom": 36.8,
  "m_tot_mub_per_cell": 0.000,
  "dos_ef_per_ev_cell": 8.03,
  "e_tot_ry_per_atom": -0.36198
}

=====

[6]
{
  "formula": "CeEr3Ru3",
  "functional": "PBE",
  "state": "relaxed",
  "lattice": [[4.7212, 2.7258, 2.0004], [-4.7212, 2.7258, 2.0004], [0.0000, -5.4515, 2.0004]],
  "species": ["Ce", "Er", "Er", "Er", "Ru", "Ru", "Ru"],
  "frac_coords": [[0.0000, 0.0000, 0.0000], [0.0000, 0.5000, 0.5000], [0.5000, 0.0000, 0.5000], [0.5000, 0.5000, 0.0000], [0.0000, 0.0000, 0.5000], [0.0000, 0.5000, 0.0000], [0.5000, 0.0000, 0.0000]],
  "vol_a3_per_atom": 22.1,
  "m_tot_mub_per_cell": 0.000,
  "polymorph_energy_mev_per_atom": 0,
  "delta_e_f_kj_per_mol_atoms": -35,
  "dos_ef_per_ev_cell": 4.84,
  "e_tot_ry_per_atom": -0.52521
}

=====

[7]
{
  "formula": "TbBeSiPt3",
  "functional": "PBE",
  "state": "relaxed",
  "lattice": [[3.2080, -5.7948, 0.0000], [3.2080, 5.7948, 0.0000], [0.0000, 0.0000, 5.5264]],
  "species": ["Tb", "Tb", "Be", "Be", "Si", "Si", "Pt", "Pt", "Pt", "Pt", "Pt", "Pt"],
  "frac_coords": [[0.2212, 0.7788, 0.7500], [0.7788, 0.2212, 0.2500], [0.4779, 0.5221, 0.7500], [0.5221, 0.4779, 0.2500], [0.1241, 0.8759, 0.2500], [0.8759, 0.1241, 0.7500], [0.2220, 0.2220, 0.0000], [0.2220, 0.2220, 0.5000], [0.3223, 0.6777, 0.2500], [0.6777, 0.3223, 0.7500], [0.7780, 0.7780, 0.0000], [0.7780, 0.7780, 0.5000]],
  "vol_a3_per_atom": 17.1,
  "m_tot_mub_per_cell": 0.000,
  "dos_ef_per_ev_cell": 4.50,
  "e_tot_ry_per_atom": -0.45426
}

=====

[8]
{
  "formula": "LaSnOF2",
  "functional": "PBE",
  "state": "relaxed",
  "lattice": [[4.6155, 0.0000, 0.0000], [0.0000, 4.6155, 0.0000], [0.0000, 0.0000, 4.4281]],
  "species": ["La", "Sn", "O", "F", "F"],
  "frac_coords": [[0.0000, 0.0000, 0.0000], [0.5000, 0.5000, 0.5000], [0.5000, 0.5000, 0.0000], [0.0000, 0.5000, 0.5000], [0.5000, 0.0000, 0.5000]],
  "vol_a3_per_atom": 18.9,
  "m_tot_mub_per_cell": 0.871,
  "polymorph_energy_mev_per_atom": 595,
  "dos_ef_per_ev_cell": 3.38,
  "e_tot_ry_per_atom": -0.39511
}

=====

[9]
{
  "formula": "AcPrPd3",
  "functional": "PBE",
  "state": "relaxed",
  "lattice": [[2.0268, -13.7301, 0.0000], [2.0268, 13.7301, 0.0000], [0.0000, 0.0000, 4.4834]],
  "species": ["Ac", "Ac", "Pr", "Pr", "Pd", "Pd", "Pd", "Pd", "Pd", "Pd"],
  "frac_coords": [[0.0726, 0.9274, 0.7500], [0.9274, 0.0726, 0.2500], [0.2045, 0.7955, 0.2500], [0.7955, 0.2045, 0.7500], [0.3149, 0.6851, 0.2500], [0.3758, 0.6242, 0.7500], [0.4731, 0.5269, 0.7500], [0.5269, 0.4731, 0.2500], [0.6242, 0.3758, 0.2500], [0.6851, 0.3149, 0.7500]],
  "vol_a3_per_atom": 25.0,
  "m_tot_mub_per_cell": 0.000,
  "polymorph_energy_mev_per_atom": 0,
  "delta_e_f_kj_per_mol_atoms": -76,
  "dos_ef_per_ev_cell": 5.91,
  "e_tot_ry_per_atom": -0.41774
}

=====

[10]
{
  "formula": "CuGe2As",
  "functional": "PBE",
  "state": "relaxed",
  "lattice": [[-2.9023, 2.9023, 5.3549], [2.9023, -2.9023, 5.3549], [2.9023, 2.9023, -5.3549]],
  "species": ["Cu", "Cu", "Ge", "Ge", "Ge", "Ge", "As", "As"],
  "frac_coords": [[0.0000, 0.0000, 0.0000], [0.7500, 0.2500, 0.5000], [0.1041, 0.6250, 0.9791], [0.3750, 0.3541, 0.4791], [0.6459, 0.1250, 0.0209], [0.8750, 0.8959, 0.5209], [0.2500, 0.7500, 0.5000], [0.5000, 0.5000, 0.0000]],
  "vol_a3_per_atom": 22.6,
  "m_tot_mub_per_cell": 0.000,
  "polymorph_energy_mev_per_atom": 0,
  "delta_e_f_kj_per_mol_atoms": 17,
  "dos_ef_per_ev_cell": 1.14,
  "e_tot_ry_per_atom": -0.31752
}

=====

[11]
{
  "formula": "Be3Te",
  "functional": "PBE",
  "state": "relaxed",
  "lattice": [[3.7229, 0.0000, 0.0000], [-1.8615, 3.2241, 0.0000], [0.0000, 0.0000, 5.1620]],
  "species": ["Be", "Be", "Be", "Te"],
  "frac_coords": [[0.0000, 0.0000, 0.0000], [0.3333, 0.6667, 0.1950], [0.3333, 0.6667, 0.8050], [0.0000, 0.0000, 0.5000]],
  "vol_a3_per_atom": 15.5,
  "m_tot_mub_per_cell": 0.000,
  "polymorph_energy_mev_per_atom": 343,
  "dos_ef_per_ev_cell": 2.32,
  "e_tot_ry_per_atom": -0.22271
}